A plane-wave DFT calculation with GGA-PBE was carried out for an optimized crystal structure of PaNbIr.

Summary:
energy of formation from the pure elements: -2.862 kcal/mol of atoms
space-group type: P3m1, No. 156
energy above the lowest structure with this stoichiometry: 176 meV per atom

abc: 4.674 4.674 2.969
angles: 90.00 90.00 120.00
Sites, in units of the cell vectors:
Pa: 0.000 0.000 0.000
Nb: 0.333 0.667 0.775
Ir: 0.667 0.333 0.308